Below is a geometry-optimized Li3TlCr4O12 structure, with properties calculated at the PBE+U level.

Properties
E_tot, eV/atom: -6.22
Space group: No. 204

Cell: 6.3488 6.3488 6.3488 Å, 109.47 109.47 109.47°
With the nearest neighbours (Å) after each atom.
Sites, in units of the cell vectors:
O (0.1118, 0.2974, 0.8143)  2 Cr 1.92, 1 Li 2.01
O (0.2974, 0.8143, 0.1118)  2 Cr 1.92, 1 Li 2.01
O (0.1857, 0.4831, 0.2974)  2 Cr 1.92, 1 Li 2.01
O (0.1857, 0.8882, 0.7026)  2 Cr 1.92, 1 Li 2.01
O (0.8143, 0.5169, 0.7026)  2 Cr 1.92, 1 Li 2.01
O (0.7026, 0.8143, 0.5169)  2 Cr 1.92, 1 Li 2.01
O (0.2974, 0.1857, 0.4831)  2 Cr 1.92, 1 Li 2.01
O (0.5169, 0.7026, 0.8143)  2 Cr 1.92, 1 Li 2.01
O (0.8143, 0.1118, 0.2974)  2 Cr 1.92, 1 Li 2.01
O (0.7026, 0.1857, 0.8882)  2 Cr 1.92, 1 Li 2.01
O (0.8882, 0.7026, 0.1857)  2 Cr 1.92, 1 Li 2.01
O (0.4831, 0.2974, 0.1857)  2 Cr 1.92, 1 Li 2.01
Cr (0.0000, 0.5000, 0.0000)  6 O 1.92
Cr (0.5000, 0.5000, 0.5000)  6 O 1.92
Cr (0.5000, 0.0000, 0.0000)  6 O 1.92
Cr (0.0000, 0.0000, 0.5000)  6 O 1.92
Li (0.5000, 0.5000, 0.0000)  4 O 2.01
Li (0.5000, 0.0000, 0.5000)  4 O 2.01
Li (0.0000, 0.5000, 0.5000)  4 O 2.01
Tl (0.0000, 0.0000, 0.0000)  12 O 2.57

---

Below is a geometry-optimized MnIr3F structure, with properties calculated at the PBE+U level.

Properties
Energy above the most stable polymorph in this dataset, meV per atom: 944
Space group: No. 221

Cell: 4.4516 4.4516 4.4516 Å, 90.00 90.00 90.00°
With the nearest neighbours (Å) after each atom.
Sites, in units of the cell vectors:
Ir (0.0000, 0.5000, 0.0000)  2 Mn 2.23
Ir (0.0000, 0.0000, 0.5000)  2 Mn 2.23
Ir (0.5000, 0.0000, 0.0000)  2 Mn 2.23
Mn (0.0000, 0.0000, 0.0000)  6 Ir 2.23
F (0.5000, 0.5000, 0.5000)  12 Ir 3.15

---

| no. | total magnetization (Bohr magnetons per cell) |
| --- | --- |
| 1 | 6.00 |
| 2 | 0.02 |